1.
# Y2Mg2I | Alexandria | PBE-GGA | optimized geometry
data_Y2Mg2I
_chemical_formula_sum 'Y4 Mg4 I2'
_symmetry_space_group_name_H-M 'P 4/m b m'
_symmetry_Int_Tables_number 127
_symmetry_space_group_name_Hall '-P 4 2ab'
_cell_length_a 7.9734
_cell_length_b 7.9734
_cell_length_c 4.9159
_cell_angle_alpha 90.00
_cell_angle_beta 90.00
_cell_angle_gamma 90.00
loop_
_atom_site_label
_atom_site_fract_x
_atom_site_fract_y
_atom_site_fract_z
_atom_site_occupancy
Y1 0.1549 0.3451 0.0000 1
Mg1 0.1353 0.6353 0.5000 1
I1 0.0000 0.0000 0.0000 1
# - ΔE_f (raw): -0.184 eV/atom
# - Size of the total moment: 0.000 μB per cell

---

2.
# PmNd3Ho2Se6 | Alexandria | PBE-GGA | optimized geometry
data_PmNd3Ho2Se6
_chemical_formula_sum 'Pm2 Nd6 Ho4 Se12'
_symmetry_space_group_name_H-M 'C 1 2/m 1'
_symmetry_Int_Tables_number 12
_cell_length_a 7.1646
_cell_length_b 12.4710
_cell_length_c 7.2784
_cell_angle_alpha 90.00
_cell_angle_beta 109.25
_cell_angle_gamma 90.00
loop_
_symmetry_equiv_pos_as_xyz
'x,y,z'
'-x,-y,-z'
'-x,y,-z'
'x,-y,z'
'x+1/2,y+1/2,z'
'-x+1/2,-y+1/2,-z'
'-x+1/2,y+1/2,-z'
'x+1/2,-y+1/2,z'
loop_
_atom_site_label
_atom_site_fract_x
_atom_site_fract_y
_atom_site_fract_z
_atom_site_occupancy
Pm1 0.0000 0.0000 0.0000 1
Nd1 0.0000 0.1609 0.5000 1
Nd2 0.0000 0.5000 0.5000 1
Ho1 0.0000 0.3340 0.0000 1
Se1 0.2364 0.5000 0.2351 1
Se2 0.2493 0.3288 0.7604 1
# - ΔE_f (raw): -1.804 eV/atom
# - Size of the total moment: 0.000 μB per cell

---

3.
# AcAl2Ge | Alexandria | PBE-GGA | optimized geometry
data_AcAl2Ge
_chemical_formula_sum 'Ac1 Al2 Ge1'
_symmetry_space_group_name_H-M 'P 4/m m m'
_symmetry_Int_Tables_number 123
_symmetry_space_group_name_Hall '-P 4 2'
_cell_length_a 4.5052
_cell_length_b 4.5052
_cell_length_c 4.7940
_cell_angle_alpha 90.00
_cell_angle_beta 90.00
_cell_angle_gamma 90.00
loop_
_atom_site_label
_atom_site_fract_x
_atom_site_fract_y
_atom_site_fract_z
_atom_site_occupancy
Ac1 0.0000 0.0000 0.0000 1
Al1 0.0000 0.5000 0.5000 1
Ge1 0.5000 0.5000 0.0000 1
# - Size of the total moment: 0.000 μB per cell
# - Energy above the lowest structure with this stoichiometry: 0.0 kJ/mol of formula units
# - ΔH_f (0 K): -0.209 eV/atom

---

4.
# Na3AsBr | Alexandria | PBE-GGA | optimized geometry
data_Na3AsBr
_chemical_formula_sum 'Na3 As1 Br1'
_symmetry_space_group_name_H-M 'P m -3 m'
_symmetry_Int_Tables_number 221
_symmetry_space_group_name_Hall '-P 4 2 3'
_cell_length_a 5.5753
_cell_length_b 5.5753
_cell_length_c 5.5753
_cell_angle_alpha 90.00
_cell_angle_beta 90.00
_cell_angle_gamma 90.00
loop_
_atom_site_label
_atom_site_fract_x
_atom_site_fract_y
_atom_site_fract_z
_atom_site_occupancy
Na1 0.0000 0.0000 0.5000 1
As1 0.0000 0.0000 0.0000 1
Br1 0.5000 0.5000 0.5000 1
# - ΔE_f (raw): -0.507 eV/atom
# - Size of the total moment: 1.000 μB per cell
# - Energy above the lowest structure with this stoichiometry: 0.0 kJ/mol of formula units